Computed, not measured: crystalline Na5Hg2O5 at its relaxed geometry at the PBE level of DFT.

Output
Size of the total moment: 1.10 μB per cell
Calculated total energy: -3.56 eV per atom
Formation energy (no corrections): -86.5 kJ per mole of atoms
DOS at the Fermi energy: 0.658 states/eV/atom

The structure in POSCAR format:
```
Na5Hg2O5
1.0
-1.328 -1.163 -2.824
1.763 -4.638 3.045
-9.093 1.943 3.476
Na O Hg
5 5 2
direct
0.500 0.000 0.500
0.256 0.513 0.638
0.344 0.688 0.948
0.744 0.487 0.362
0.656 0.312 0.052
0.000 0.000 0.000
0.687 0.374 0.814
0.113 0.226 0.414
0.313 0.626 0.186
0.887 0.774 0.586
0.031 0.062 0.779
0.969 0.938 0.221
```


Computed, not measured: crystalline Tm2PaWC4 at its relaxed geometry at the PBE level of DFT.

Output
Size of the total moment: 0.00 μB per cell
Calculated total energy: -8.64 eV per atom
DOS at the Fermi energy: 0.474 states/eV/atom
ΔE_f: -0.104 eV per atom

The structure in POSCAR format:
```
Tm2PaWC4
1.0
-1.542 -1.960 -2.362
0.464 -3.467 5.071
-10.830 4.016 3.737
C W Pa Tm
8 2 2 4
direct
0.000 0.000 0.500
0.552 0.103 0.250
0.267 0.534 0.132
0.448 0.897 0.750
0.733 0.466 0.868
0.000 0.000 0.000
0.267 0.534 0.368
0.733 0.466 0.632
0.155 0.310 0.250
0.845 0.690 0.750
0.108 0.216 0.750
0.892 0.784 0.250
0.630 0.260 0.037
0.370 0.740 0.963
0.370 0.740 0.537
0.630 0.260 0.463
```


Computed, not measured: crystalline Ca2ZnReN4 at its relaxed geometry at the PBE level of DFT.

Output
Size of the total moment: 0.00 μB per cell
Calculated total energy: -6.93 eV per atom
Formation energy (no corrections): -53.1 kJ per mole of atoms
DOS at the Fermi energy: 0.400 states/eV/atom

The structure in POSCAR format:
```
Ca2ZnReN4
1.0
-3.245 -3.665 2.594
-1.081 -2.860 -5.393
5.814 -4.343 1.137
Zn N Re Ca
2 8 2 4
direct
0.493 0.821 0.000
0.993 0.179 0.500
0.851 0.907 0.000
0.828 0.880 0.500
0.426 0.682 0.716
0.351 0.093 0.500
0.926 0.318 0.216
0.328 0.120 0.000
0.426 0.682 0.284
0.926 0.318 0.784
0.501 0.826 0.500
0.001 0.174 0.000
0.987 0.693 0.753
0.487 0.307 0.253
0.987 0.693 0.247
0.487 0.307 0.747
```


Computed, not measured: crystalline CsBaIn3 at its relaxed geometry at the PBE level of DFT.

Output
Size of the total moment: 0.00 μB per cell
Calculated total energy: -1.60 eV per atom
DOS at the Fermi energy: 1.354 states/eV/atom
ΔE_f: 0.594 eV per atom

The structure in POSCAR format:
```
CsBaIn3
1.0
-2.428 -1.332 5.683
-4.284 -3.774 -2.715
3.965 -4.894 0.547
In Cs Ba
3 1 1
direct
0.000 0.000 0.500
0.000 0.500 0.000
0.500 0.000 0.000
0.000 0.000 0.000
0.500 0.500 0.500
```


Computed, not measured: crystalline Zn3MoN at its relaxed geometry at the PBE level of DFT.

Output
Size of the total moment: 2.67 μB per cell
Calculated total energy: -3.79 eV per atom
Energy above the most stable polymorph in this dataset: 0.00 eV per formula unit
Formation energy (no corrections): 77.5 kJ per mole of atoms
DOS at the Fermi energy: 0.657 states/eV/atom

The structure in POSCAR format:
```
Zn3MoN
1.0
4.141 0.000 0.000
0.000 4.141 0.000
0.000 0.000 4.141
N Zn Mo
1 3 1
direct
0.000 0.000 0.000
0.000 0.000 0.500
0.500 0.000 0.000
0.000 0.500 0.000
0.500 0.500 0.500
```


Computed, not measured: crystalline I2Br at its relaxed geometry at the PBE level of DFT.

Output
Size of the total moment: 0.00 μB per cell
Calculated total energy: -1.63 eV per atom
Energy above the most stable polymorph in this dataset: 0.00 eV per formula unit
Formation energy (no corrections): -3.6 kJ per mole of atoms

The structure in POSCAR format:
```
I2Br
1.0
-6.568 -2.123 10.574
-0.829 -5.358 -1.239
4.526 1.607 2.790
Br I
2 4
direct
0.119 0.574 0.493
0.806 0.209 0.857
0.963 0.377 0.660
0.637 0.015 0.467
0.463 0.784 0.067
0.288 0.185 0.298
```